No. 1
First-principles (PBE-GGA) data for a relaxed NaSr3H6Rh2 crystal, as listed in the Alexandria database.

```
12
Lattice="5.539 0.000 0.000 -2.769 4.797 0.000 0.000 0.000 6.635" Properties=species:S:1:pos:R:3 pbc="T T T"
Na 0.000 0.000 0.000
Sr 0.000 0.000 3.318
Sr 0.000 3.198 1.252
Sr 2.769 1.599 5.383
H 0.000 1.741 5.300
H -1.262 3.926 5.300
H 1.508 0.870 1.336
H 1.262 3.926 5.300
H 4.031 0.870 1.336
H 2.769 3.056 1.336
Rh 0.000 3.198 4.409
Rh 2.769 1.599 2.226
```

DFT total energy = -45.8 eV/cell



No. 2
First-principles (PBE-GGA) data for a relaxed NbINO2 crystal, as listed in the Alexandria database.

```
5
Lattice="3.933 0.000 0.000 0.000 3.933 0.000 0.000 0.000 4.692" Properties=species:S:1:pos:R:3 pbc="T T T"
Nb 0.000 0.000 0.000
I 1.967 1.967 2.346
N 0.000 0.000 2.346
O 0.000 1.967 0.000
O 1.967 0.000 0.000
```

formation energy without anion corrections = -604 meV/atom



No. 3
First-principles (PBE-GGA) data for a relaxed Zr4CoNi crystal, as listed in the Alexandria database.

```
12
Lattice="-4.391 4.391 3.400 4.391 -4.391 3.400 4.391 4.391 -3.400" Properties=species:S:1:pos:R:3 pbc="T T T"
Zr 0.000 1.751 0.000
Zr 2.339 0.000 1.749
Zr 6.443 0.000 1.749
Zr 4.391 2.339 0.049
Zr 0.000 2.052 3.449
Zr -1.751 4.391 1.700
Zr 1.751 4.391 1.700
Zr 0.000 7.032 0.000
Co 4.391 0.000 0.287
Co 0.000 0.000 1.987
Ni 4.391 0.000 3.191
Ni 0.000 0.000 4.891
```

DFT total energy = -92.7 eV/cell



No. 4
First-principles (PBE-GGA) data for a relaxed Sr4LiIn crystal, as listed in the Alexandria database.

```
6
Lattice="0.000 5.232 5.232 5.232 0.000 5.232 5.232 5.232 0.000" Properties=species:S:1:pos:R:3 pbc="T T T"
Sr 1.303 1.303 1.303
Sr 3.929 3.929 1.303
Sr 3.929 1.303 3.929
Sr 1.303 3.929 3.929
Li 5.232 5.232 5.232
In 7.848 7.848 7.848
```

DFT total energy = -9.3 eV/cell



Repeat the first record exactly.
First-principles (PBE-GGA) data for a relaxed NaSr3H6Rh2 crystal, as listed in the Alexandria database.

```
12
Lattice="5.539 0.000 0.000 -2.769 4.797 0.000 0.000 0.000 6.635" Properties=species:S:1:pos:R:3 pbc="T T T"
Na 0.000 0.000 0.000
Sr 0.000 0.000 3.318
Sr 0.000 3.198 1.252
Sr 2.769 1.599 5.383
H 0.000 1.741 5.300
H -1.262 3.926 5.300
H 1.508 0.870 1.336
H 1.262 3.926 5.300
H 4.031 0.870 1.336
H 2.769 3.056 1.336
Rh 0.000 3.198 4.409
Rh 2.769 1.599 2.226
```

DFT total energy = -45.8 eV/cell